# 1
Entry from Alexandria via LeMat-Bulk: MgTaAsSe2 after structural relaxation (PBE).

Geometry as extended XYZ:
```
5
Lattice="-4.368 -1.697 -1.146 1.922 -4.330 -0.915 -0.712 -1.295 4.633" Properties=species:S:1:pos:R:3 pbc="T T T"
As -0.356 -0.648 2.317
Mg 0.000 0.000 0.000
Se 0.961 -2.165 -0.458
Se -2.184 -0.848 -0.573
Ta -1.579 -3.661 1.286
```

Calculated values
The value obtained for the density of states at the Fermi level is 1.370 states/eV/atom. The uncorrected energy is -4.13 eV per atom.

=====

# 2
Entry from Alexandria via LeMat-Bulk: MgTaAs2Se after structural relaxation (PBE).

Geometry as extended XYZ:
```
5
Lattice="5.053 0.000 0.000 0.000 5.053 0.000 0.000 0.000 4.980" Properties=species:S:1:pos:R:3 pbc="T T T"
As 0.000 2.527 0.000
As 2.527 0.000 0.000
Mg 2.527 2.527 2.490
Se 0.000 0.000 2.490
Ta 0.000 0.000 0.000
```

Calculated values
The value obtained for the density of states at the Fermi level is 0.614 states/eV/atom. The uncorrected energy is -5.17 eV per atom.

=====

# 3
Entry from Alexandria via LeMat-Bulk: MgTaAs2Se after structural relaxation (PBE).

Geometry as extended XYZ:
```
5
Lattice="-0.243 -4.756 0.334 3.662 -0.400 -3.036 3.142 0.105 3.775" Properties=species:S:1:pos:R:3 pbc="T T T"
As 1.831 -0.200 -1.518
As -0.121 -2.378 0.167
Mg 0.000 0.000 0.000
Se 1.571 0.052 1.888
Ta 3.280 -2.526 0.537
```

Calculated values
The value obtained for the density of states at the Fermi level is 1.387 states/eV/atom. The uncorrected energy is -4.19 eV per atom.

=====

# 4
Entry from Alexandria via LeMat-Bulk: MgTcAs2Se after structural relaxation (PBE).

Geometry as extended XYZ:
```
5
Lattice="4.645 0.000 0.000 0.000 4.645 0.000 0.000 0.000 5.690" Properties=species:S:1:pos:R:3 pbc="T T T"
Mg 2.322 2.322 2.845
As 0.000 2.322 0.000
As 2.322 0.000 0.000
Tc 0.000 0.000 0.000
Se 0.000 0.000 2.845
```

Calculated values
The value obtained for the density of states at the Fermi level is 0.894 states/eV/atom. The uncorrected energy is -4.71 eV per atom.

=====

# 5
Entry from Alexandria via LeMat-Bulk: MgTcAsSe2 after structural relaxation (PBE).

Geometry as extended XYZ:
```
5
Lattice="-2.304 4.136 1.717 -3.801 -0.784 -3.209 -2.206 -2.574 3.241" Properties=species:S:1:pos:R:3 pbc="T T T"
Mg -4.155 0.389 0.875
As -1.103 -1.287 1.620
Tc 0.000 0.000 0.000
Se -1.900 -0.392 -1.605
Se -1.152 2.068 0.859
```

Calculated values
The value obtained for the density of states at the Fermi level is 1.110 states/eV/atom. The uncorrected energy is -4.49 eV per atom.

=====

# 6
Entry from Alexandria via LeMat-Bulk: MgTeAsSe2 after structural relaxation (PBE).

Geometry as extended XYZ:
```
5
Lattice="4.985 0.000 0.000 0.000 4.985 0.000 0.000 0.000 5.109" Properties=species:S:1:pos:R:3 pbc="T T T"
As 0.000 0.000 2.554
Te 2.492 2.492 2.554
Mg 0.000 0.000 0.000
Se 0.000 2.492 0.000
Se 2.492 0.000 0.000
```

Calculated values
The value obtained for the density of states at the Fermi level is 1.063 states/eV/atom. The uncorrected energy is -2.92 eV per atom.

=====

# 7
Entry from Alexandria via LeMat-Bulk: MgTiAsSe2 after structural relaxation (PBE).

Geometry as extended XYZ:
```
5
Lattice="4.941 0.000 0.000 0.000 4.941 0.000 0.000 0.000 4.946" Properties=species:S:1:pos:R:3 pbc="T T T"
As 0.000 0.000 2.473
Mg 2.471 2.471 2.473
Se 0.000 2.471 0.000
Se 2.471 0.000 0.000
Ti 0.000 0.000 0.000
```

Calculated values
The value obtained for the density of states at the Fermi level is 0.532 states/eV/atom. The uncorrected energy is -4.54 eV per atom.

=====

# 8
Entry from Alexandria via LeMat-Bulk: MgTiAs2Se after structural relaxation (PBE).

Geometry as extended XYZ:
```
5
Lattice="-4.276 0.456 2.412 -1.406 -4.426 -1.657 2.001 -2.113 3.947" Properties=species:S:1:pos:R:3 pbc="T T T"
As -0.703 -2.213 -0.829
As -2.138 0.228 1.206
Mg -1.841 -3.042 2.351
Se 1.000 -1.057 1.973
Ti 0.000 0.000 0.000
```

Calculated values
The value obtained for the density of states at the Fermi level is 0.728 states/eV/atom. The uncorrected energy is -4.59 eV per atom.